First-principles (GGA-PBEsol) data for a relaxed structure of Li2CaAg, as listed in Alexandria via LeMat-Bulk.

Properties
Its density of states at the Fermi level is 0.5330 states/eV per atom. As for the symmetry: No. 119. As for the formation energy: -0.0899 eV per atom. As for the crystal system: tetragonal. Its polymorph energy (0 for the lowest one) is 27 meV per atom.

Cell lengths 5.015, 4.957, 5.015 Å; angles 59.61, 90.00, 120.39 degrees
Positions (direct):
Ca 0.750 0.500 0.750
Li 0.000 0.000 0.000
Li 0.250 0.500 0.250
Ag 0.500 0.000 0.500